Entry 1:
This record from the Open Quantum Materials Database describes an optimized crystal structure of BeTlTcW. The functional is GGA-PBE.

## Properties
Symmetry: F-43m
DFT total energy, eV per atom: -6.71
Relative energy among the computed polymorphs, kJ/mol of formula units: 0.0
Magnetization, μB/cell: 0.00

Unit cell a=4.4473 b=4.4473 c=4.4473 alpha=60.00 beta=60.00 gamma=60.00
Fractional positions:
1 Be 0.0000 0.0000 0.0000
2 Tl 0.2500 0.2500 0.2500
3 Tc 0.5000 0.5000 0.5000
4 W 0.7500 0.7500 0.7500


Entry 2:
This record from the Open Quantum Materials Database describes an optimized crystal structure of ZnCdO3. The functional is GGA-PBE.

## Properties
Symmetry: R-3c
DFT total energy, eV per atom: -3.95

Unit cell a=5.2810 b=5.2810 c=5.2810 alpha=62.64 beta=62.64 gamma=62.64
Fractional positions:
1 Zn 0.0000 0.0000 0.0000
2 Zn 0.5000 0.5000 0.5000
3 Cd 0.2500 0.2500 0.2500
4 Cd 0.7500 0.7500 0.7500
5 O 0.1524 0.7500 0.3476
6 O 0.2500 0.6524 0.8476
7 O 0.3476 0.1524 0.7500
8 O 0.6524 0.8476 0.2500
9 O 0.7500 0.3476 0.1524
10 O 0.8476 0.2500 0.6524


Entry 3:
This record from the Open Quantum Materials Database describes an optimized crystal structure of ErLuPO. The functional is GGA-PBE.

## Properties
Symmetry: Pmc2_1
DFT total energy, eV per atom: -6.87
Relative energy among the computed polymorphs, kJ/mol of formula units: 8.6
Magnetization, μB/cell: 0.03

Unit cell a=4.0551 b=7.3224 c=5.5444 alpha=90.00 beta=90.00 gamma=90.00
Fractional positions:
1 Er 0.0000 0.1272 0.0000
2 Er 0.0000 0.8728 0.5000
3 Lu 0.5000 0.2881 0.4515
4 Lu 0.5000 0.7119 0.9515
5 P 0.5000 0.3487 0.9436
6 P 0.5000 0.6513 0.4436
7 O 0.0000 0.1743 0.4023
8 O 0.0000 0.8257 0.9023


Entry 4:
This record from the Open Quantum Materials Database describes an optimized crystal structure of PmBi2. The functional is GGA-PBE.

## Properties
Symmetry: Pnnm
DFT total energy, eV per atom: -4.54
Relative energy among the computed polymorphs, kJ/mol of formula units: 51.9
Magnetization, μB/cell: 0.34

Unit cell a=7.0586 b=8.4702 c=3.5702 alpha=90.00 beta=90.00 gamma=90.00
Fractional positions:
1 Pm 0.0000 0.0000 0.0000
2 Pm 0.5000 0.5000 0.5000
3 Bi 0.1403 0.3632 0.0000
4 Bi 0.3597 0.8632 0.5000
5 Bi 0.6403 0.1368 0.5000
6 Bi 0.8597 0.6368 0.0000


Entry 5:
This record from the Open Quantum Materials Database describes an optimized crystal structure of TmGaNiPt. The functional is GGA-PBE.

## Properties
Symmetry: P-3m1
DFT total energy, eV per atom: -5.61
Relative energy among the computed polymorphs, kJ/mol of formula units: 5.0
Magnetization, μB/cell: 0.00

Unit cell a=4.2611 b=4.2611 c=8.8344 alpha=90.00 beta=90.00 gamma=120.00
Fractional positions:
1 Tm 0.3333 0.6667 0.2601
2 Tm 0.6667 0.3333 0.7399
3 Ga 0.0000 0.0000 0.0000
4 Ga 0.0000 0.0000 0.5000
5 Ni 0.3333 0.6667 0.5687
6 Ni 0.6667 0.3333 0.4313
7 Pt 0.3333 0.6667 0.9018
8 Pt 0.6667 0.3333 0.0982


Entry 6:
This record from the Open Quantum Materials Database describes an optimized crystal structure of HgPt17. The functional is GGA-PBE.

## Properties
Symmetry: P-3m1
DFT total energy, eV per atom: -5.64
Calculated formation energy, eV per atom: 0.09
Magnetization, μB/cell: 0.03

Unit cell a=5.5343 b=5.5343 c=31.7690 alpha=90.00 beta=90.00 gamma=120.00
Fractional positions:
1 Hg 0.3333 0.6667 0.3157
2 Hg 0.6667 0.3333 0.6843
3 Pt 0.0000 0.0000 0.0000
4 Pt 0.0000 0.0000 0.2194
5 Pt 0.0000 0.0000 0.7806
6 Pt 0.0000 0.5000 0.0000
7 Pt 0.0028 0.5014 0.2200
8 Pt 0.1664 0.3329 0.9268
9 Pt 0.1664 0.8336 0.9268
10 Pt 0.1667 0.3335 0.1467
11 Pt 0.1667 0.3333 0.7087
12 Pt 0.1667 0.8333 0.1467
13 Pt 0.1667 0.8333 0.7087
14 Pt 0.3329 0.1664 0.0732
15 Pt 0.3333 0.1667 0.2913
16 Pt 0.3335 0.1667 0.8533
17 Pt 0.3333 0.6667 0.0733
18 Pt 0.3333 0.6667 0.8543
19 Pt 0.4986 0.5014 0.2200
20 Pt 0.4986 0.9972 0.2200
21 Pt 0.5000 0.0000 0.0000
22 Pt 0.5000 0.5000 0.0000
23 Pt 0.5014 0.0028 0.7800
24 Pt 0.5014 0.4986 0.7800
25 Pt 0.6667 0.3333 0.1457
26 Pt 0.6667 0.3333 0.9267
27 Pt 0.6665 0.8333 0.1467
28 Pt 0.6667 0.8333 0.7087
29 Pt 0.6671 0.8336 0.9268
30 Pt 0.8333 0.1667 0.2913
31 Pt 0.8333 0.1667 0.8533
32 Pt 0.8333 0.6667 0.2913
33 Pt 0.8333 0.6665 0.8533
34 Pt 0.8336 0.1664 0.0732
35 Pt 0.8336 0.6671 0.0732
36 Pt 0.9972 0.4986 0.7800


Entry 7:
This record from the Open Quantum Materials Database describes an optimized crystal structure of SrHfBePd. The functional is GGA-PBE.

## Properties
Symmetry: F-43m
DFT total energy, eV per atom: -4.85
Relative energy among the computed polymorphs, kJ/mol of formula units: 46.5
Magnetization, μB/cell: 0.00

Unit cell a=4.7203 b=4.7203 c=4.7203 alpha=60.00 beta=60.00 gamma=60.00
Fractional positions:
1 Sr 0.0000 0.0000 0.0000
2 Hf 0.7500 0.7500 0.7500
3 Be 0.2500 0.2500 0.2500
4 Pd 0.5000 0.5000 0.5000


Entry 8:
This record from the Open Quantum Materials Database describes an optimized crystal structure of ZrZn. The functional is GGA-PBE.

## Properties
Symmetry: P2_1/m
DFT total energy, eV per atom: -4.95
Calculated formation energy, eV per atom: -0.04
Magnetization, μB/cell: 0.02

Unit cell a=6.3665 b=4.8617 c=7.6445 alpha=90.00 beta=102.25 gamma=90.00
Fractional positions:
1 Zr 0.0317 0.2500 0.1127
2 Zr 0.3050 0.7500 0.2523
3 Zr 0.4655 0.7500 0.8691
4 Zr 0.5345 0.2500 0.1309
5 Zr 0.6950 0.2500 0.7477
6 Zr 0.9683 0.7500 0.8873
7 Zn 0.1104 0.7500 0.5569
8 Zn 0.1931 0.2500 0.7749
9 Zn 0.3376 0.2500 0.4630
10 Zn 0.6624 0.7500 0.5370
11 Zn 0.8069 0.7500 0.2251
12 Zn 0.8896 0.2500 0.4431


Entry 9:
This record from the Open Quantum Materials Database describes an optimized crystal structure of HoTmB. The functional is GGA-PBE.

## Properties
Symmetry: F-43m
DFT total energy, eV per atom: -5.20
Relative energy among the computed polymorphs, kJ/mol of formula units: 0.0
Magnetization, μB/cell: 0.00

Unit cell a=4.4802 b=4.4802 c=4.4802 alpha=60.00 beta=60.00 gamma=60.00
Fractional positions:
1 Ho 0.0000 0.0000 0.0000
2 Tm 0.5000 0.5000 0.5000
3 B 0.2500 0.2500 0.2500


Entry 10:
This record from the Open Quantum Materials Database describes an optimized crystal structure of TmAlPt. The functional is GGA-PBE.

## Properties
Symmetry: F-43m
DFT total energy, eV per atom: -4.94
Magnetization, μB/cell: 0.01

Unit cell a=4.6273 b=4.6273 c=4.6273 alpha=60.00 beta=60.00 gamma=60.00
Fractional positions:
1 Tm 0.0000 0.0000 0.0000
2 Al 0.7500 0.7500 0.7500
3 Pt 0.2500 0.2500 0.2500


Entry 11:
This record from the Open Quantum Materials Database describes an optimized crystal structure of ZnCoIr2. The functional is GGA-PBE.

## Properties
Symmetry: F-43m
DFT total energy, eV per atom: -6.34
Calculated formation energy, eV per atom: 0.18
Magnetization, μB/cell: 2.58

Unit cell a=4.2743 b=4.2743 c=4.2743 alpha=60.00 beta=60.00 gamma=60.00
Fractional positions:
1 Zn 0.0000 0.0000 0.0000
2 Co 0.7500 0.7500 0.7500
3 Ir 0.2500 0.2500 0.2500
4 Ir 0.5000 0.5000 0.5000


Entry 12:
This record from the Open Quantum Materials Database describes an optimized crystal structure of MgBIrPb. The functional is GGA-PBE.

## Properties
Symmetry: F-43m
DFT total energy, eV per atom: -4.40
Relative energy among the computed polymorphs, kJ/mol of formula units: 0.0
Magnetization, μB/cell: 0.00

Unit cell a=4.5104 b=4.5104 c=4.5104 alpha=60.00 beta=60.00 gamma=60.00
Fractional positions:
1 Mg 0.0000 0.0000 0.0000
2 B 0.7500 0.7500 0.7500
3 Ir 0.5000 0.5000 0.5000
4 Pb 0.2500 0.2500 0.2500


Entry 13:
This record from the Open Quantum Materials Database describes an optimized crystal structure of Nb2H5. The functional is GGA-PBE.

## Properties
Symmetry: Ibam
DFT total energy, eV per atom: -5.40
Relative energy among the computed polymorphs, kJ/mol of formula units: 19.7
Magnetization, μB/cell: 0.01

Unit cell a=5.6619 b=5.6619 c=5.6619 alpha=131.24 beta=69.39 gamma=133.84
Fractional positions:
1 Nb 0.1190 0.2408 0.3598
2 Nb 0.3810 0.7408 0.1219
3 Nb 0.6190 0.2592 0.8781
4 Nb 0.8810 0.7592 0.6402
5 H 0.0068 0.7500 0.2568
6 H 0.0828 0.8380 0.9207
7 H 0.2500 0.7500 0.5000
8 H 0.4172 0.3380 0.7552
9 H 0.4932 0.7500 0.7432
10 H 0.5068 0.2500 0.2568
11 H 0.5828 0.6620 0.2448
12 H 0.7500 0.2500 0.5000
13 H 0.9172 0.1620 0.0793
14 H 0.9932 0.2500 0.7432


Entry 14:
This record from the Open Quantum Materials Database describes an optimized crystal structure of Ba2AlFeS6. The functional is GGA-PBE.

## Properties
Symmetry: Fm-3m
DFT total energy, eV per atom: -5.07
Magnetization, μB/cell: 3.57

Unit cell a=6.6690 b=6.6690 c=6.6690 alpha=60.00 beta=60.00 gamma=60.00
Fractional positions:
1 Ba 0.2500 0.2500 0.2500
2 Ba 0.7500 0.7500 0.7500
3 Al 0.0000 0.0000 0.0000
4 Fe 0.5000 0.5000 0.5000
5 S 0.2539 0.2539 0.7461
6 S 0.2539 0.7461 0.2539
7 S 0.2539 0.7461 0.7461
8 S 0.7461 0.2539 0.2539
9 S 0.7461 0.2539 0.7461
10 S 0.7461 0.7461 0.2539


Entry 15:
This record from the Open Quantum Materials Database describes an optimized crystal structure of Pm2Zn15Ag2. The functional is GGA-PBE.

## Properties
Symmetry: R-3m
DFT total energy, eV per atom: -2.05
Calculated formation energy, eV per atom: -0.25
Magnetization, μB/cell: 0.01

Unit cell a=6.8544 b=6.8544 c=6.8544 alpha=82.81 beta=82.81 gamma=82.81
Fractional positions:
1 Pm 0.1591 0.1591 0.1591
2 Pm 0.8409 0.8409 0.8409
3 Zn 0.0000 0.5000 0.5000
4 Zn 0.1481 0.1481 0.6619
5 Zn 0.1481 0.6619 0.1481
6 Zn 0.2054 0.5000 0.7946
7 Zn 0.2054 0.7946 0.5000
8 Zn 0.3381 0.8519 0.8519
9 Zn 0.5000 0.0000 0.5000
10 Zn 0.5000 0.2054 0.7946
11 Zn 0.5000 0.5000 0.0000
12 Zn 0.5000 0.7946 0.2054
13 Zn 0.6619 0.1481 0.1481
14 Zn 0.7946 0.2054 0.5000
15 Zn 0.7946 0.5000 0.2054
16 Zn 0.8519 0.3381 0.8519
17 Zn 0.8519 0.8519 0.3381
18 Ag 0.3940 0.3940 0.3940
19 Ag 0.6060 0.6060 0.6060


Entry 16:
This record from the Open Quantum Materials Database describes an optimized crystal structure of SbPb2Au. The functional is GGA-PBE.

## Properties
Symmetry: F-43m
DFT total energy, eV per atom: -3.57

Unit cell a=5.3238 b=5.3238 c=5.3238 alpha=60.00 beta=60.00 gamma=60.00
Fractional positions:
1 Sb 0.0000 0.0000 0.0000
2 Pb 0.5000 0.5000 0.5000
3 Pb 0.7500 0.7500 0.7500
4 Au 0.2500 0.2500 0.2500


Entry 17:
This record from the Open Quantum Materials Database describes an optimized crystal structure of MgZnTeO. The functional is GGA-PBE.

## Properties
Symmetry: P2_12_12_1
DFT total energy, eV per atom: -3.98
Relative energy among the computed polymorphs, kJ/mol of formula units: 15.7

Unit cell a=6.0087 b=7.5083 c=8.0751 alpha=90.00 beta=90.00 gamma=90.00
Fractional positions:
1 Mg 0.0348 0.1671 0.0309
2 Mg 0.4652 0.8329 0.5309
3 Mg 0.5348 0.3329 0.9691
4 Mg 0.9652 0.6671 0.4691
5 Zn 0.0821 0.5837 0.9544
6 Zn 0.4179 0.4163 0.4544
7 Zn 0.5821 0.9163 0.0456
8 Zn 0.9179 0.0837 0.5456
9 Te 0.2367 0.8839 0.8451
10 Te 0.2633 0.1161 0.3451
11 Te 0.7367 0.6161 0.1549
12 Te 0.7633 0.3839 0.6549
13 O 0.2210 0.3597 0.9601
14 O 0.2790 0.6403 0.4601
15 O 0.7210 0.1403 0.0399
16 O 0.7790 0.8597 0.5399


Entry 18:
This record from the Open Quantum Materials Database describes an optimized crystal structure of Lu4CoBiC2. The functional is GGA-PBE.

## Properties
Symmetry: P-6m2
DFT total energy, eV per atom: -6.32
Magnetization, μB/cell: 0.66

Unit cell a=3.5374 b=3.5374 c=14.2844 alpha=90.00 beta=90.00 gamma=120.00
Fractional positions:
1 Lu 0.0000 0.0000 0.1342
2 Lu 0.0000 0.0000 0.8658
3 Lu 0.6667 0.3333 0.3158
4 Lu 0.6667 0.3333 0.6842
5 Co 0.6667 0.3333 0.0000
6 Bi 0.0000 0.0000 0.5000
7 C 0.3333 0.6667 0.2321
8 C 0.3333 0.6667 0.7679


Entry 19:
This record from the Open Quantum Materials Database describes an optimized crystal structure of NbTcB. The functional is GGA-PBE.

## Properties
Symmetry: F-43m
DFT total energy, eV per atom: -7.95
Relative energy among the computed polymorphs, kJ/mol of formula units: 65.8
Magnetization, μB/cell: 0.01

Unit cell a=4.0958 b=4.0958 c=4.0958 alpha=60.00 beta=60.00 gamma=60.00
Fractional positions:
1 Nb 0.0000 0.0000 0.0000
2 Tc 0.2500 0.2500 0.2500
3 B 0.7500 0.7500 0.7500


Entry 20:
This record from the Open Quantum Materials Database describes an optimized crystal structure of HgB4Au. The functional is GGA-PBE.

## Properties
Symmetry: Immm
DFT total energy, eV per atom: -4.37
Relative energy among the computed polymorphs, kJ/mol of formula units: 9.6

Unit cell a=5.7641 b=5.7641 c=5.7641 alpha=153.06 beta=121.52 gamma=65.52
Fractional positions:
1 Hg 0.0000 0.0000 0.0000
2 B 0.1107 0.7580 0.3527
3 B 0.4054 0.7580 0.6473
4 B 0.5946 0.2420 0.3527
5 B 0.8893 0.2420 0.6473
6 Au 0.5000 0.5000 0.0000